# 1
This record from Alexandria via LeMat-Bulk describes an optimized crystal structure of Ca3LaPb2. The functional is PBE.

Calculated values
Formation energy: -0.521 eV/atom
Size of the total moment: 0.0 μB/cell

Cell: 5.3631 7.4007 9.8524 Å, 90.00 90.00 90.00°
Last column: nearest neighbours and their distance in Å.
Fractional coordinates of all 12 atoms:
La 0.5000 0.0193 0.4682  5 Pb 3.47-3.69, 6 Ca 3.73-3.82, 2 La 3.75
Pb 0.5000 0.2346 0.1549  6 Ca 3.18-3.45, 1 La 3.47
Ca 0.0000 0.9809 0.0456  5 Pb 3.40-3.80, 8 Ca 3.64-3.81
Ca 0.5000 0.1894 0.8304  4 Pb 3.21-3.37
La 0.5000 0.5193 0.5318  5 Pb 3.47-3.69, 6 Ca 3.73-3.82, 2 La 3.75
Pb 0.5000 0.7346 0.8451  6 Ca 3.18-3.45, 1 La 3.47
Ca 0.5000 0.6894 0.1696  4 Pb 3.21-3.37
Ca 0.0000 0.8128 0.6811  4 Pb 3.18-3.35
Ca 0.0000 0.3128 0.3189  4 Pb 3.18-3.35
Pb 0.0000 0.7630 0.3500  5 Ca 3.26-3.40, 2 La 3.48
Ca 0.0000 0.4809 0.9544  5 Pb 3.40-3.80, 8 Ca 3.64-3.81
Pb 0.0000 0.2630 0.6500  5 Ca 3.26-3.40, 2 La 3.48

---

# 2
This record from Alexandria via LeMat-Bulk describes an optimized crystal structure of TbHo6Er3Tm2. The functional is PBE.

Calculated values
Formation energy: 0.021 eV/atom
Size of the total moment: 0.0 μB/cell

Cell: 6.0730 6.0730 11.6235 Å, 94.98 94.98 119.94°
Last column: nearest neighbours and their distance in Å.
Fractional coordinates of all 12 atoms:
Tm 0.6667 0.3333 0.0000  6 Ho 3.50-3.51, 3 Tb 3.50-3.51, 3 Tm 3.51
Tm 0.3333 0.6667 0.0000  6 Ho 3.50-3.51, 3 Tb 3.50-3.51, 3 Tm 3.51
Ho 0.2502 0.2502 0.7500  6 Ho 3.50-3.51, 3 Er 3.50-3.51, 1 Tb 3.51, 2 Tm 3.51
Er 0.1668 0.8332 0.5000  6 Ho 3.50-3.51, 6 Er 3.50-3.51
Ho 0.5828 0.9165 0.7499  6 Ho 3.50-3.51, 3 Er 3.50-3.51, 2 Tm 3.50-3.51, 1 Tb 3.51
Er 0.5000 0.5000 0.5000  6 Er 3.50-3.51, 6 Ho 3.50-3.51
Ho 0.4172 0.0835 0.2501  6 Ho 3.50-3.51, 3 Er 3.50-3.51, 2 Tm 3.50-3.51, 1 Tb 3.51
Er 0.8332 0.1668 0.5000  6 Ho 3.50-3.51, 6 Er 3.50-3.51
Tb 0.0000 0.0000 0.0000  6 Tm 3.50-3.51, 6 Ho 3.51
Ho 0.0835 0.4172 0.2501  6 Ho 3.50-3.51, 3 Er 3.50-3.51, 2 Tm 3.50-3.51, 1 Tb 3.51
Ho 0.7498 0.7498 0.2500  6 Ho 3.50-3.51, 3 Er 3.50-3.51, 1 Tb 3.51, 2 Tm 3.51
Ho 0.9165 0.5828 0.7499  6 Ho 3.50-3.51, 3 Er 3.50-3.51, 2 Tm 3.50-3.51, 1 Tb 3.51

---

# 3
This record from Alexandria via LeMat-Bulk describes an optimized crystal structure of Ni2BPdAu. The functional is PBE.

Calculated values
Formation energy: -0.001 eV/atom
Size of the total moment: 0.0 μB/cell

Cell: 3.9422 3.9422 4.1313 Å, 90.00 90.00 90.00°
Last column: nearest neighbours and their distance in Å.
Fractional coordinates of all 5 atoms:
Au 0.5000 0.5000 0.5000  4 Pd 2.79, 8 Ni 2.86
B 0.0000 0.0000 0.0000  4 Ni 1.97, 2 Pd 2.07
Ni 0.5000 0.0000 0.0000  2 B 1.97
Pd 0.0000 0.0000 0.5000  2 B 2.07
Ni 0.0000 0.5000 0.0000  2 B 1.97

---

# 4
This record from Alexandria via LeMat-Bulk describes an optimized crystal structure of NbCrReOs. The functional is PBE.

Calculated values
Formation energy: 0.041 eV/atom
Size of the total moment: 1.8 μB/cell

Cell: 4.4048 4.4048 4.4048 Å, 60.00 60.00 60.00°
Last column: nearest neighbours and their distance in Å.
Fractional coordinates of all 4 atoms:
Cr 0.2500 0.2500 0.2500  4 Os 2.70, 4 Re 2.70
Os 0.0000 0.0000 0.0000  4 Cr 2.70, 4 Nb 2.70
Re 0.5000 0.5000 0.5000  4 Cr 2.70, 4 Nb 2.70
Nb 0.7500 0.7500 0.7500  4 Re 2.70, 4 Os 2.70

---

# 5
This record from Alexandria via LeMat-Bulk describes an optimized crystal structure of ScAsP2. The functional is PBE.

Calculated values
Formation energy: -0.163 eV/atom
Size of the total moment: 0.0 μB/cell

Cell: 3.2146 3.2146 7.2657 Å, 90.00 90.00 108.15°
Last column: nearest neighbours and their distance in Å.
Fractional coordinates of all 4 atoms:
P 0.0000 0.0000 0.0081  2 Sc 2.58, 2 As 2.66
P 0.0000 0.0000 0.4919  2 Sc 2.58, 2 As 2.66
Sc 0.5000 0.5000 0.2500  4 P 2.58
As 0.5000 0.5000 0.7500  4 P 2.66

---

# 6
This record from Alexandria via LeMat-Bulk describes an optimized crystal structure of Li2InBi2. The functional is PBE.

Calculated values
Formation energy: -0.248 eV/atom
Distance to the lowest polymorph of the same formula: 0.000 eV/f.u.
Size of the total moment: 0.0 μB/cell

Cell: 8.8983 8.8983 3.2054 Å, 90.00 90.00 90.00°
Last column: nearest neighbours and their distance in Å.
Fractional coordinates of all 10 atoms:
In 0.5000 0.5000 0.0000  2 In 3.21, 4 Bi 3.32
Bi 0.8348 0.6652 0.0000  6 Li 3.04-3.09, 2 Bi 3.21, 2 In 3.32
Li 0.1297 0.6297 0.5000  6 Bi 3.04-3.09, 3 Li 3.21-3.26
Bi 0.3348 0.8348 0.0000  6 Li 3.04-3.09, 2 Bi 3.21, 2 In 3.32
Bi 0.1652 0.3348 0.0000  6 Li 3.04-3.09, 2 Bi 3.21, 2 In 3.32
Bi 0.6652 0.1652 0.0000  6 Li 3.04-3.09, 2 Bi 3.21, 2 In 3.32
Li 0.8703 0.3703 0.5000  6 Bi 3.04-3.09, 3 Li 3.21-3.26
Li 0.6297 0.8703 0.5000  6 Bi 3.04-3.09, 3 Li 3.21-3.26
In 0.0000 0.0000 0.0000  2 In 3.21, 4 Bi 3.32
Li 0.3703 0.1297 0.5000  6 Bi 3.04-3.09, 3 Li 3.21-3.26

---

# 7
This record from Alexandria via LeMat-Bulk describes an optimized crystal structure of SrBeRu2. The functional is PBE.

Calculated values
Formation energy: 0.408 eV/atom
Size of the total moment: 0.0 μB/cell

Cell: 3.0601 3.0382 7.8595 Å, 67.32 90.00 90.00°
Last column: nearest neighbours and their distance in Å.
Fractional coordinates of all 4 atoms:
Sr 0.5000 0.2500 0.2500  4 Sr 3.04-3.06, 8 Ru 3.25
Ru 0.0000 0.0856 0.9143  1 Ru 2.38, 4 Be 2.46
Be 0.5000 0.7500 0.7500  8 Ru 2.46
Ru 0.0000 0.4144 0.5857  1 Ru 2.38, 4 Be 2.46

---

# 8
This record from Alexandria via LeMat-Bulk describes an optimized crystal structure of Ca6Cd2Ga. The functional is PBE.

Calculated values
Formation energy: -0.270 eV/atom
Size of the total moment: 0.0 μB/cell

Cell: 5.3757 7.1864 8.4657 Å, 83.18 71.49 68.04°
Last column: nearest neighbours and their distance in Å.
Fractional coordinates of all 9 atoms:
Ca 0.3636 0.7728 0.5000  2 Ga 3.25, 2 Cd 3.28
Ca 0.9790 0.2173 0.8247  1 Ga 3.22, 3 Cd 3.28
Cd 0.6701 0.5000 0.1598  8 Ca 3.28
Cd 0.3299 0.5000 0.8402  8 Ca 3.28
Ca 0.6963 0.7827 0.8247  1 Ga 3.22, 3 Cd 3.28
Ga 0.0000 0.5000 0.5000  8 Ca 3.22-3.25
Ca 0.3037 0.2173 0.1753  1 Ga 3.22, 3 Cd 3.28
Ca 0.6364 0.2272 0.5000  2 Ga 3.25, 2 Cd 3.28
Ca 0.0210 0.7827 0.1753  1 Ga 3.22, 3 Cd 3.28

---

# 9
This record from Alexandria via LeMat-Bulk describes an optimized crystal structure of PaRe3Si2. The functional is PBE.

Calculated values
E_form (uncorrected): -130.3 meV/atom
Distance to the lowest polymorph of the same formula: 1.496 eV/f.u.
Size of the total moment: 0.0 μB/cell

Cell: 4.2103 7.6526 7.6526 Å, 58.43 74.03 74.03°
Last column: nearest neighbours and their distance in Å.
Fractional coordinates of all 12 atoms:
Si 0.5000 0.1778 0.8222  4 Re 2.43-2.46, 1 Si 2.66
Pa 0.8671 0.1328 0.1329  8 Re 2.80-3.12, 6 Si 3.01-3.07
Re 0.6810 0.5217 0.1162  4 Si 2.46-2.76
Re 0.6810 0.1163 0.5217  4 Si 2.46-2.76
Re 0.0000 0.3408 0.6592  1 Re 2.38, 2 Si 2.43
Re 0.3190 0.4783 0.8838  4 Si 2.46-2.76
Si 0.5000 0.8222 0.1778  4 Re 2.43-2.46, 1 Si 2.66
Re 0.0000 0.6592 0.3408  1 Re 2.38, 2 Si 2.43
Si 0.8097 0.6904 0.6903  8 Re 2.60-2.76
Si 0.1903 0.3096 0.3097  8 Re 2.60-2.76
Re 0.3190 0.8837 0.4783  4 Si 2.46-2.76
Pa 0.1329 0.8672 0.8671  8 Re 2.80-3.12, 6 Si 3.01-3.07

---

# 10
This record from Alexandria via LeMat-Bulk describes an optimized crystal structure of PaVZnCr. The functional is PBE.

Calculated values
Formation energy: 0.139 eV/atom
Size of the total moment: 0.0 μB/cell

Cell: 4.5238 4.5238 4.5238 Å, 60.00 60.00 60.00°
Last column: nearest neighbours and their distance in Å.
Fractional coordinates of all 4 atoms:
Pa 0.0000 0.0000 0.0000  4 V 2.77, 4 Cr 2.77
Zn 0.5000 0.5000 0.5000  4 Cr 2.77, 4 V 2.77
Cr 0.2500 0.2500 0.2500  4 Zn 2.77, 4 Pa 2.77
V 0.7500 0.7500 0.7500  4 Pa 2.77, 4 Zn 2.77

---

# 11
This record from Alexandria via LeMat-Bulk describes an optimized crystal structure of NaTeP2S. The functional is PBE.

Calculated values
E_form (uncorrected): 1262.9 meV/atom
Distance to the lowest polymorph of the same formula: 3.168 eV/f.u.
Size of the total moment: 0.4 μB/cell

Cell: 4.9822 4.9822 4.7173 Å, 90.00 90.00 90.00°
Last column: nearest neighbours and their distance in Å.
Fractional coordinates of all 5 atoms:
S 0.0000 0.0000 0.5000  2 Na 2.36
P 0.0000 0.5000 0.0000  2 Na 2.49
Te 0.5000 0.5000 0.5000  8 P 3.43, 4 S 3.52
Na 0.0000 0.0000 0.0000  2 S 2.36, 4 P 2.49
P 0.5000 0.0000 0.0000  2 Na 2.49

---

# 12
This record from Alexandria via LeMat-Bulk describes an optimized crystal structure of ErGa2Ni8. The functional is PBE.

Calculated values
Formation energy: 0.158 eV/atom
Size of the total moment: 0.0 μB/cell

Cell: 5.8015 5.8015 4.8794 Å, 90.00 90.00 90.00°
Last column: nearest neighbours and their distance in Å.
Fractional coordinates of all 11 atoms:
Ga 0.5000 0.0000 0.0000  8 Ni 2.44
Ni 0.2029 0.2029 0.2577  4 Ni 2.35-2.52, 2 Ga 2.44
Ni 0.7971 0.7971 0.7423  4 Ni 2.35-2.52, 2 Ga 2.44
Ni 0.2029 0.7971 0.7423  4 Ni 2.35-2.52, 2 Ga 2.44
Ni 0.7971 0.2029 0.2577  4 Ni 2.35-2.52, 2 Ga 2.44
Ni 0.2029 0.7971 0.2577  4 Ni 2.35-2.52, 2 Ga 2.44
Ga 0.0000 0.5000 0.0000  8 Ni 2.44
Ni 0.7971 0.7971 0.2577  4 Ni 2.35-2.52, 2 Ga 2.44
Ni 0.2029 0.2029 0.7423  4 Ni 2.35-2.52, 2 Ga 2.44
Ni 0.7971 0.2029 0.7423  4 Ni 2.35-2.52, 2 Ga 2.44
Er 0.5000 0.5000 0.5000  8 Ni 2.71

---

Calculated values (Mg/m³) of theoretical density for the records, taken in order: 5.72, 9.02, 11.16, 14.33, 4.23, 7.15, 7.36, 3.09, 14.09, 10.13, 3.47, 7.85.